NbCoNiAs | PBE-GGA | optimized geometry

Output
- Relative energy among the computed polymorphs: 0.000 eV/atom
- DFT total energy: -6.95 eV/atom

abc: 5.9975 5.9975 5.9975
angles: 90.00 90.00 90.00
With the nearest neighbours (Å) after each atom.
Space group F-43m (No. 216)
Asymmetric unit:
Nb (0.0000, 0.0000, 0.0000)  4 As 2.60, 4 Ni 2.60
Co (0.0000, 0.0000, 0.5000)  4 As 2.60, 4 Ni 2.60
Ni (0.2500, 0.2500, 0.7500)  4 Nb 2.60, 4 Co 2.60
As (0.2500, 0.2500, 0.2500)  4 Nb 2.60, 4 Co 2.60